CuBi2H | GGA-PBE | relaxed

As for the total energy: -3.35 eV per atom.

Lattice parameters (Å, degrees): 6.8417 6.8417 6.9131 90.00 90.00 90.00
With the nearest neighbours (Å) after each atom.
Space group I-42d (No. 122)
Inequivalent atoms, fractional coordinates:
Cu 0.0000 0.0000 0.0000 [4 per cell]  4 Bi 2.83
Bi 0.1953 0.2500 0.6250 [8 per cell]  2 H 2.34
H 0.0000 0.0000 0.5000 [4 per cell]  4 Bi 2.34

Ho5AsP4 | GGA-PBE | relaxed

Its formation enthalpy at 0 K is -1538 kJ/mol of formula units. As for the total energy: -6.51 eV per atom.

Lattice parameters (Å, degrees): 4.0090 5.6695 20.0495 90.00 90.00 90.00
With the nearest neighbours (Å) after each atom.
Space group Immm (No. 71)
Inequivalent atoms, fractional coordinates:
Ho 0.0000 0.0000 0.0000 [2 per cell]  2 As 2.83, 4 P 2.84
Ho 0.0000 0.0000 0.1996 [4 per cell]  6 P 2.83
Ho 0.0000 0.0000 0.3969 [4 per cell]  4 P 2.81-2.84, 2 As 2.88
As 0.0000 0.5000 0.0000 [2 per cell]  6 Ho 2.83-2.88
P 0.0000 0.5000 0.2011 [4 per cell]  6 Ho 2.81-2.83
P 0.0000 0.5000 0.3998 [4 per cell]  6 Ho 2.83-2.84

Mg2In6Pb | GGA-PBE | relaxed

Its formation enthalpy at 0 K is -15 kJ/mol of formula units. As for the total energy: -2.61 eV per atom.

Lattice parameters (Å, degrees): 15.4665 10.9549 5.6399 90.00 100.06 90.00
With the nearest neighbours (Å) after each atom.
Space group C2/c (No. 15)
Inequivalent atoms, fractional coordinates:
Mg 0.1579 0.1246 0.0980 [8 per cell]  10 In 3.15-3.29
In 0.0529 0.1240 0.5374 [8 per cell]  5 In 3.13-3.37, 4 Mg 3.16-3.29, 1 Pb 3.32
In 0.1296 0.3702 0.8042 [8 per cell]  2 Mg 3.15-3.24, 4 In 3.21-3.28, 3 Pb 3.32-3.48
In 0.2365 0.3753 0.3502 [8 per cell]  4 Mg 3.17-3.25, 5 In 3.21-3.28
Pb 0.0000 0.3857 0.2500 [4 per cell]  10 In 3.32-3.60